[1]
AlCuTc2W | the Alexandria database | PBE | optimized geometry; energy relative to the elements = 1.321 eV/atom; M_tot = 0.0 μB per cell; space group = No. 123
1.0
4.4671 0.0000 0.0000
0.0000 4.4671 0.0000
0.0000 0.0000 4.0597
Al Cu Tc W
1 1 2 1
Cartesian
0.0000 0.0000 0.0000
0.0000 0.0000 2.0299
0.0000 2.2335 0.0000
2.2335 0.0000 0.0000
2.2335 2.2335 2.0299

=====

[2]
RbIr3S | the Alexandria database | PBE | optimized geometry; raw formation energy = 91.48 kJ/mol of atoms; M_tot = 0.0 μB per cell; space group = No. 221
1.0
4.5773 0.0000 0.0000
0.0000 4.5773 0.0000
0.0000 0.0000 4.5773
Rb Ir S
1 3 1
Cartesian
0.0000 0.0000 0.0000
0.0000 2.2886 2.2886
2.2886 0.0000 2.2886
2.2886 2.2886 0.0000
2.2886 2.2886 2.2886

=====

[3]
CdRe2W | the Alexandria database | PBE | optimized geometry; energy relative to the elements = 0.542 eV/atom; M_tot = 0.0 μB per cell; space group = No. 44
1.0
3.1173 0.0000 0.0000
0.0000 4.5634 0.0000
0.0000 0.0000 9.2322
Cd Re W
2 4 2
Cartesian
0.0000 0.0000 0.0000
1.5586 2.2817 4.6161
0.0000 0.0000 4.5878
0.0000 2.2817 7.0538
1.5586 0.0000 2.4377
1.5586 2.2817 9.2039
0.0000 2.2817 2.1376
1.5586 0.0000 6.7537

=====

[4]
Sr2CeTmAs4 | the Alexandria database | PBE | optimized geometry; energy relative to the elements = -1.228 eV/atom; M_tot = 0.0 μB per cell; space group = No. 10
1.0
7.3841 0.0000 0.0000
0.0000 4.2943 0.0000
-2.4932 0.0000 7.1240
Sr Ce Tm As
2 1 1 4
Cartesian
0.0000 0.0000 0.0000
3.6921 2.1471 0.0000
-1.2466 2.1471 3.5620
2.4455 0.0000 3.5620
-0.0089 0.0000 5.1281
1.2385 2.1471 1.9972
3.6525 2.1471 5.1267
4.8999 0.0000 1.9959

=====

[5]
Er2GaTe4 | the Alexandria database | PBE | optimized geometry; raw formation energy = -74.07 kJ/mol of atoms; M_tot = 0.0 μB per cell; space group = No. 121
1.0
6.5862 0.0000 0.0000
0.0000 6.5862 0.0000
0.0000 0.0000 13.1285
Er Ga Te
4 2 8
Cartesian
0.0000 3.2931 3.2821
0.0000 3.2931 9.8464
3.2931 0.0000 3.2821
3.2931 0.0000 9.8464
0.0000 0.0000 0.0000
3.2931 3.2931 6.5642
1.5967 1.5967 8.0492
1.5967 4.9895 5.0792
1.6964 1.6964 1.4850
1.6964 4.8898 11.6435
4.8898 1.6964 11.6435
4.8898 4.8898 1.4850
4.9895 1.5967 5.0792
4.9895 4.9895 8.0492

=====

[6]
Ba2TePd | the Alexandria database | PBE | optimized geometry; raw formation energy = -101.84 kJ/mol of atoms; M_tot = 0.0 μB per cell; space group = No. 166
1.0
4.8331 0.0000 0.0000
-2.4165 4.1856 0.0000
0.0000 0.0000 23.8287
Ba Te Pd
6 3 3
Cartesian
0.0000 0.0000 5.8319
0.0000 0.0000 17.9968
0.0000 2.7904 10.0539
0.0000 2.7904 21.7177
2.4165 1.3952 2.1110
2.4165 1.3952 13.7748
0.0000 0.0000 0.0000
0.0000 2.7904 15.8858
2.4165 1.3952 7.9429
0.0000 0.0000 11.9144
0.0000 2.7904 3.9715
2.4165 1.3952 19.8573